1.
Below is an optimized crystal structure of InCuRh2, with properties calculated at the PBE level.

Cell: 3.9680 3.9680 7.7673 Å, 90.00 90.00 90.00°
Space group I-4m2 (No. 119)
One atom of each set of equivalent atoms:
In1 0.0000 0.0000 0.0000
Cu1 0.0000 0.5000 0.2500
Rh1 0.0000 0.0000 0.5000
Rh2 0.0000 0.5000 0.7500

Output
Energy of formation = -0.0867 eV per atom
VASP energy = -5.471 eV per atom


2.
Below is an optimized crystal structure of La4Al3Ge, with properties calculated at the PBE level.

Cell: 4.2392 4.6060 11.7675 Å, 90.00 90.00 90.00°
Space group Pmm2 (No. 25)
One atom of each set of equivalent atoms:
La1 0.0000 0.0000 0.0000
La2 0.0000 0.5000 0.4955
La3 0.5000 0.0000 0.7108
La4 0.5000 0.5000 0.2143
Al1 0.0000 0.5000 0.7888
Al2 0.5000 0.0000 0.4182
Al3 0.5000 0.5000 0.9236
Ge1 0.0000 0.0000 0.2831

Output
Energy of formation = -0.5053 eV per atom
VASP energy = -4.950 eV per atom


3.
Below is an optimized crystal structure of Sr2BiPb2, with properties calculated at the PBE level.

Cell: 5.7788 5.7788 12.2980 Å, 90.00 90.00 90.00°
Space group I4/mmm (No. 139)
One atom of each set of equivalent atoms:
Sr1 0.0000 0.5000 0.2500
Bi1 0.0000 0.0000 0.0000
Pb1 0.0000 0.0000 0.3871

Output
Energy above the lowest structure with this stoichiometry = 0.5284 eV per atom
Energy of formation = 0.0022 eV per atom
VASP energy = -2.930 eV per atom


4.
Below is an optimized crystal structure of NaI2O, with properties calculated at the PBE level.

Cell: 7.6267 7.6267 7.6267 Å, 90.00 90.00 90.00°
Space group Fm-3m (No. 225)
One atom of each set of equivalent atoms:
Na1 0.0000 0.0000 0.0000
I1 0.2500 0.2500 0.2500
O1 0.0000 0.0000 0.5000

Output
Energy above the lowest structure with this stoichiometry = 0.4055 eV per atom
E_form (uncorrected) = 0.17 eV/atom
VASP energy = -2.173 eV per atom


The following calculated volume values (in Å³/cell) correspond, in order, to the records above: 122, 230, 411, 444.